Record 1
A geometry-optimized Ti3Sn2Mo structure. Source: the Alexandria database, functional PBE.

a b c (Å): 4.4178 13.0853 3.7127
angles (deg): 90.00 90.00 90.00
Space group Cmmm (No. 65)
Inequivalent atoms, fractional coordinates:
Ti 0.0000 0.0000 0.0000
Ti 0.0000 0.3358 0.0000
Sn 0.0000 0.1580 0.5000
Mo 0.0000 0.5000 0.5000

Formation energy   -0.284 eV per atom

***

Record 2
A geometry-optimized Ti5SnMo2 structure. Source: the Alexandria database, functional PBE.

a b c (Å): 6.8897 6.8897 11.9084
angles (deg): 90.00 90.00 90.00
Space group I4/mcm (No. 140)
Inequivalent atoms, fractional coordinates:
Ti 0.0000 0.0000 0.0000
Ti 0.1478 0.3522 0.1509
Sn 0.0000 0.0000 0.2500
Mo 0.1586 0.3414 0.5000

Formation energy   0.025 eV per atom

***

Record 3
A geometry-optimized Ti6SnMo2 structure. Source: the Alexandria database, functional PBE.

a b c (Å): 8.2212 8.4739 9.5002
angles (deg): 90.00 90.00 90.00
Space group Immm (No. 71)
Inequivalent atoms, fractional coordinates:
Ti 0.0000 0.2069 0.2466
Ti 0.2015 0.3059 0.5000
Ti 0.2078 0.5000 0.1615
Sn 0.0000 0.0000 0.0000
Sn 0.0000 0.0000 0.5000
Mo 0.0000 0.3282 0.0000
Mo 0.0000 0.5000 0.3560

Formation energy   0.085 eV per atom

***

Record 4
A geometry-optimized Ti8Sn2Mo structure. Source: the Alexandria database, functional PBE.

a b c (Å): 4.7130 6.2734 13.4452
angles (deg): 90.00 90.00 90.00
Space group Immm (No. 71)
Inequivalent atoms, fractional coordinates:
Ti 0.0000 0.0000 0.1697
Ti 0.0000 0.2335 0.3647
Ti 0.0000 0.2583 0.0000
Sn 0.0000 0.5000 0.1876
Mo 0.0000 0.5000 0.5000

Formation energy   -0.185 eV per atom

***

Record 5
A geometry-optimized Ti6SnMo structure. Source: the Alexandria database, functional PBE.

a b c (Å): 4.7390 5.8338 10.0599
angles (deg): 90.00 90.00 90.00
Space group Amm2 (No. 38)
Inequivalent atoms, fractional coordinates:
Ti 0.0000 0.0000 0.0000
Ti 0.0000 0.2445 0.7541
Ti 0.5000 0.0000 0.3325
Ti 0.5000 0.2484 0.0846
Sn 0.0000 0.0000 0.5020
Mo 0.5000 0.0000 0.8354

Formation energy   -0.068 eV per atom

***

Record 6
A geometry-optimized Ti5Sn2Mo2 structure. Source: the Alexandria database, functional PBE.

a b c (Å): 14.5606 7.0447 6.6856
angles (deg): 90.00 90.00 90.00
Space group Cmce (No. 64)
Inequivalent atoms, fractional coordinates:
Ti 0.0000 0.0000 0.0000
Ti 0.1221 0.1548 0.3514
Sn 0.2098 0.0000 0.0000
Mo 0.0000 0.1570 0.6563

Formation energy   0.021 eV per atom

***

Record 7
A geometry-optimized Ti7Sn2Mo2 structure. Source: the Alexandria database, functional PBE.

a b c (Å): 6.7541 8.4957 7.2038
angles (deg): 90.00 106.54 90.00
Space group C2/m (No. 12)
Inequivalent atoms, fractional coordinates:
Ti 0.0000 0.0000 0.0000
Ti 0.1367 0.0000 0.4065
Ti 0.2063 0.3142 0.1693
Sn 0.0000 0.3015 0.5000
Mo 0.1142 0.5000 0.8433

Formation energy   -0.118 eV per atom

***

Record 8
A geometry-optimized Ti3SnMo structure. Source: the Alexandria database, functional PBE.

a b c (Å): 4.8842 4.8842 4.8842
angles (deg): 90.00 90.00 90.00
Space group Pm-3m (No. 221)
Inequivalent atoms, fractional coordinates:
Ti 0.0000 0.0000 0.5000
Sn 0.0000 0.0000 0.0000
Mo 0.5000 0.5000 0.5000

Formation energy   1.499 eV per atom
Relative energy among the computed polymorphs   1.684 eV per atom

***

Record 9
A geometry-optimized Ti3SnMo structure. Source: the Alexandria database, functional PBE.

a b c (Å): 4.7575 4.7575 4.7575
angles (deg): 90.00 90.00 90.00
Space group Pm-3m (No. 221)
Inequivalent atoms, fractional coordinates:
Ti 0.0000 0.0000 0.5000
Sn 0.5000 0.5000 0.5000
Mo 0.0000 0.0000 0.0000

Formation energy   0.572 eV per atom
Relative energy among the computed polymorphs   0.756 eV per atom

***

Record 10
A geometry-optimized Ti3SnMo structure. Source: the Alexandria database, functional PBE.

a b c (Å): 12.8182 4.3799 8.5793
angles (deg): 90.00 128.54 90.00
Space group C2/m (No. 12)
Inequivalent atoms, fractional coordinates:
Ti 0.0847 0.0000 0.2130
Ti 0.1014 0.5000 0.9771
Ti 0.1164 0.0000 0.7025
Sn 0.0978 0.5000 0.4516
Mo 0.2403 0.0000 0.1204

Formation energy   -0.036 eV per atom
Relative energy among the computed polymorphs   0.148 eV per atom

***

Record 11
A geometry-optimized UTiSnMo structure. Source: the Alexandria database, functional PBE.

a b c (Å): 6.7379 6.7379 6.7379
angles (deg): 90.00 90.00 90.00
Space group F-43m (No. 216)
Inequivalent atoms, fractional coordinates:
U 0.0000 0.0000 0.0000
Ti 0.2500 0.2500 0.2500
Sn 0.0000 0.0000 0.5000
Mo 0.2500 0.2500 0.7500

Formation energy   0.051 eV per atom

***

Record 12
A geometry-optimized TiZnSnMo2 structure. Source: the Alexandria database, functional PBE.

a b c (Å): 4.6025 4.6025 4.8317
angles (deg): 90.00 90.00 90.00
Space group P4/mmm (No. 123)
Inequivalent atoms, fractional coordinates:
Ti 0.0000 0.0000 0.0000
Zn 0.0000 0.0000 0.5000
Sn 0.5000 0.5000 0.5000
Mo 0.0000 0.5000 0.0000

Formation energy   1.195 eV per atom

***

Record 13
A geometry-optimized ZrTiSnMo structure. Source: the Alexandria database, functional PBE.

a b c (Å): 6.7088 6.7088 6.7088
angles (deg): 90.00 90.00 90.00
Space group F-43m (No. 216)
Inequivalent atoms, fractional coordinates:
Zr 0.0000 0.0000 0.0000
Ti 0.0000 0.0000 0.5000
Sn 0.2500 0.2500 0.7500
Mo 0.2500 0.2500 0.2500

Formation energy   -0.179 eV per atom

***

Record 14
A geometry-optimized TlSn2Mo structure. Source: the Alexandria database, functional PBE.

a b c (Å): 3.2688 3.2688 31.3111
angles (deg): 90.00 90.00 120.00
Space group R-3m (No. 166, hexagonal axes)
Inequivalent atoms, fractional coordinates:
Tl 0.0000 0.0000 0.0000
Sn 0.0000 0.0000 0.0996
Mo 0.0000 0.0000 0.5000

Formation energy   0.256 eV per atom
Relative energy among the computed polymorphs   0.000 eV per atom

***

Record 15
A geometry-optimized Tl3SnMo structure. Source: the Alexandria database, functional PBE.

a b c (Å): 5.4147 5.4147 5.4147
angles (deg): 90.00 90.00 90.00
Space group Pm-3m (No. 221)
Inequivalent atoms, fractional coordinates:
Tl 0.0000 0.0000 0.5000
Sn 0.5000 0.5000 0.5000
Mo 0.0000 0.0000 0.0000

Formation energy   0.747 eV per atom
Relative energy among the computed polymorphs   0.000 eV per atom

***

Record 16
A geometry-optimized TlSnMo2 structure. Source: the Alexandria database, functional PBE.

a b c (Å): 7.6540 7.6540 5.7632
angles (deg): 90.00 90.00 90.00
Space group I-42d (No. 122)
Inequivalent atoms, fractional coordinates:
Tl 0.0000 0.0000 0.0000
Sn 0.0000 0.0000 0.5000
Mo 0.2413 0.2500 0.6250

Formation energy   1.059 eV per atom
Relative energy among the computed polymorphs   0.370 eV per atom

***

Record 17
A geometry-optimized Tl2SnMo structure. Source: the Alexandria database, functional PBE.

a b c (Å): 10.6868 10.6868 5.2932
angles (deg): 90.00 90.00 90.00
Space group I-42d (No. 122)
Inequivalent atoms, fractional coordinates:
Tl 0.0009 0.2500 0.1250
Sn 0.0000 0.0000 0.5000
Mo 0.0000 0.0000 0.0000

Formation energy   0.628 eV per atom
Relative energy among the computed polymorphs   0.000 eV per atom

***

Record 18
A geometry-optimized Tl2SnMo structure. Source: the Alexandria database, functional PBE.

a b c (Å): 7.4158 7.4158 7.4158
angles (deg): 90.00 90.00 90.00
Space group Fm-3m (No. 225)
Inequivalent atoms, fractional coordinates:
Tl 0.2500 0.2500 0.2500
Sn 0.0000 0.0000 0.0000
Mo 0.0000 0.0000 0.5000

Formation energy   0.849 eV per atom
Relative energy among the computed polymorphs   0.221 eV per atom

***

Record 19
A geometry-optimized Tl2SnMo4 structure. Source: the Alexandria database, functional PBE.

a b c (Å): 4.9683 4.9683 14.4068
angles (deg): 90.00 90.00 90.00
Space group I4/mmm (No. 139)
Inequivalent atoms, fractional coordinates:
Tl 0.0000 0.0000 0.1211
Sn 0.0000 0.0000 0.5000
Mo 0.0000 0.0000 0.3165
Mo 0.0000 0.5000 0.0000

Formation energy   1.804 eV per atom

***

Record 20
A geometry-optimized TlSnMo2 structure. Source: the Alexandria database, functional PBE.

a b c (Å): 6.6874 6.6874 6.6874
angles (deg): 90.00 90.00 90.00
Space group Fm-3m (No. 225)
Inequivalent atoms, fractional coordinates:
Tl 0.0000 0.0000 0.0000
Sn 0.0000 0.0000 0.5000
Mo 0.2500 0.2500 0.2500

Formation energy   0.689 eV per atom
Relative energy among the computed polymorphs   0.000 eV per atom

***

Record 21
A geometry-optimized TlSn3Mo structure. Source: the Alexandria database, functional PBE.

a b c (Å): 5.3067 5.3067 5.3067
angles (deg): 90.00 90.00 90.00
Space group Pm-3m (No. 221)
Inequivalent atoms, fractional coordinates:
Tl 0.0000 0.0000 0.0000
Sn 0.0000 0.5000 0.5000
Mo 0.5000 0.5000 0.5000

Formation energy   0.237 eV per atom
Relative energy among the computed polymorphs   0.000 eV per atom

***

Record 22
A geometry-optimized Tl3SnMo structure. Source: the Alexandria database, functional PBE.

a b c (Å): 5.7563 5.7563 5.7563
angles (deg): 90.00 90.00 90.00
Space group Pm-3m (No. 221)
Inequivalent atoms, fractional coordinates:
Tl 0.0000 0.0000 0.5000
Sn 0.0000 0.0000 0.0000
Mo 0.5000 0.5000 0.5000

Formation energy   1.259 eV per atom
Relative energy among the computed polymorphs   0.512 eV per atom

***

Record 23
A geometry-optimized TlSn2Mo structure. Source: the Alexandria database, functional PBE.

a b c (Å): 4.3477 4.3477 20.6203
angles (deg): 90.00 90.00 90.00
Space group I-42d (No. 122)
Inequivalent atoms, fractional coordinates:
Tl 0.0000 0.0000 0.0000
Sn 0.2358 0.2500 0.6250
Mo 0.0000 0.0000 0.5000

Formation energy   0.683 eV per atom
Relative energy among the computed polymorphs   0.427 eV per atom

***

Record 24
A geometry-optimized TlSn2Mo structure. Source: the Alexandria database, functional PBE.

a b c (Å): 7.2659 7.2659 7.2659
angles (deg): 90.00 90.00 90.00
Space group Fm-3m (No. 225)
Inequivalent atoms, fractional coordinates:
Tl 0.0000 0.0000 0.0000
Sn 0.2500 0.2500 0.2500
Mo 0.0000 0.0000 0.5000

Formation energy   0.678 eV per atom
Relative energy among the computed polymorphs   0.422 eV per atom

***

Record 25
A geometry-optimized TmSnMo structure. Source: the Alexandria database, functional PBE.

a b c (Å): 4.5542 4.5542 8.0144
angles (deg): 90.00 90.00 120.00
Space group P-3m1 (No. 164)
Inequivalent atoms, fractional coordinates:
Tm 0.0000 0.0000 0.2054
Sn 0.3333 0.6667 0.4156
Mo 0.3333 0.6667 0.0399

Formation energy   0.020 eV per atom